Run w
This record from the Alexandria database describes an optimized crystal structure of NbCr3C. The functional is PBE.

Calculated values
Density of states at the Fermi level = 6.27 states/eV/cell

a = 3.9126 Å, b = 3.9126 Å, c = 3.9126 Å
α = 90.00°, β = 90.00°, γ = 90.00°
Space group Pm-3m (No. 221)
One atom of each set of equivalent atoms:
1 Nb 0.0000 0.0000 0.0000 x1
2 Cr 0.0000 0.5000 0.5000 x3
3 C 0.5000 0.5000 0.5000 x1

---

Run x
This record from the Alexandria database describes an optimized crystal structure of NbCr3C. The functional is PBE.

Calculated values
Density of states at the Fermi level = 15.17 states/eV/cell

a = 7.5640 Å, b = 3.0226 Å, c = 9.9823 Å
α = 90.00°, β = 90.00°, γ = 90.00°
Space group Pnma (No. 62)
One atom of each set of equivalent atoms:
1 Nb 0.1725 0.2500 0.0173 x4
2 Cr 0.0461 0.2500 0.4200 x4
3 Cr 0.0997 0.7500 0.2316 x4
4 Cr 0.1531 0.7500 0.7827 x4
5 C 0.1396 0.2500 0.6347 x4

---

Name the least stable of them. run w.

---

Run w
This record from the Alexandria database describes an optimized crystal structure of Nb3CrC. The functional is PBE.

Calculated values
Density of states at the Fermi level = 9.42 states/eV/cell

a = 4.2759 Å, b = 4.2759 Å, c = 4.2759 Å
α = 90.00°, β = 90.00°, γ = 90.00°
Space group Pm-3m (No. 221)
One atom of each set of equivalent atoms:
1 Nb 0.0000 0.0000 0.5000 x3
2 Cr 0.5000 0.5000 0.5000 x1
3 C 0.0000 0.0000 0.0000 x1

---

Run x
This record from the Alexandria database describes an optimized crystal structure of Nb3CrC. The functional is PBE.

Calculated values
Density of states at the Fermi level = 5.99 states/eV/cell

a = 4.5429 Å, b = 4.5429 Å, c = 4.5429 Å
α = 90.00°, β = 90.00°, γ = 90.00°
Space group Pm-3m (No. 221)
One atom of each set of equivalent atoms:
1 Nb 0.0000 0.0000 0.5000 x3
2 Cr 0.0000 0.0000 0.0000 x1
3 C 0.5000 0.5000 0.5000 x1

---

Name the least stable of them. run x.

---

Run w
This record from the Alexandria database describes an optimized crystal structure of NbCrRu2C. The functional is PBE.

Calculated values
Density of states at the Fermi level = 3.18 states/eV/cell

a = 4.0237 Å, b = 4.0237 Å, c = 3.9903 Å
α = 90.00°, β = 90.00°, γ = 90.00°
Space group P4/mmm (No. 123)
One atom of each set of equivalent atoms:
1 Nb 0.0000 0.0000 0.0000 x1
2 Cr 0.5000 0.5000 0.0000 x1
3 Ru 0.0000 0.5000 0.5000 x2
4 C 0.5000 0.5000 0.5000 x1

---

Run x
This record from the Alexandria database describes an optimized crystal structure of NbCrRu2C. The functional is PBE.

Calculated values
Density of states at the Fermi level = 3.76 states/eV/cell

a = 3.9839 Å, b = 3.9839 Å, c = 4.2449 Å
α = 90.00°, β = 90.00°, γ = 90.00°
Space group P4/mmm (No. 123)
One atom of each set of equivalent atoms:
1 Nb 0.0000 0.0000 0.0000 x1
2 Cr 0.5000 0.5000 0.0000 x1
3 Ru 0.0000 0.5000 0.5000 x2
4 C 0.0000 0.0000 0.5000 x1

---

Name the least stable of them. run x.

---

Run w
This record from the Alexandria database describes an optimized crystal structure of NdCrC. The functional is PBE.

Calculated values
Density of states at the Fermi level = 5.43 states/eV/cell

a = 3.3540 Å, b = 3.3461 Å, c = 8.8851 Å
α = 90.00°, β = 90.07°, γ = 90.00°
Space group P2_1/m (No. 11)
One atom of each set of equivalent atoms:
1 Nd 0.2491 0.2500 0.2036 x2
2 Cr 0.2500 0.7500 0.4999 x2
3 C 0.2505 0.2500 0.6452 x2

---

Run x
This record from the Alexandria database describes an optimized crystal structure of NdCrC. The functional is PBE.

Calculated values
Density of states at the Fermi level = 2.48 states/eV/cell

a = 3.4229 Å, b = 3.4229 Å, c = 4.8239 Å
α = 90.00°, β = 90.00°, γ = 120.00°
Space group P-6m2 (No. 187)
One atom of each set of equivalent atoms:
1 Nd 0.0000 0.0000 0.0000 x1
2 Cr 0.6667 0.3333 0.5000 x1
3 C 0.3333 0.6667 0.5000 x1

---

Name the least stable of them. run x.

---

Run w
This record from the Alexandria database describes an optimized crystal structure of CrNi3C. The functional is PBE.

Calculated values
Density of states at the Fermi level = 5.64 states/eV/cell

a = 4.1894 Å, b = 4.1894 Å, c = 4.1894 Å
α = 90.00°, β = 90.00°, γ = 90.00°
Space group Pm-3m (No. 221)
One atom of each set of equivalent atoms:
1 Cr 0.0000 0.0000 0.0000 x1
2 Ni 0.0000 0.0000 0.5000 x3
3 C 0.5000 0.5000 0.5000 x1

---

Run x
This record from the Alexandria database describes an optimized crystal structure of CrNi3C. The functional is PBE.

Calculated values
Density of states at the Fermi level = 6.39 states/eV/cell

a = 3.7903 Å, b = 3.7903 Å, c = 3.7903 Å
α = 90.00°, β = 90.00°, γ = 90.00°
Space group Pm-3m (No. 221)
One atom of each set of equivalent atoms:
1 Cr 0.0000 0.0000 0.0000 x1
2 Ni 0.0000 0.5000 0.5000 x3
3 C 0.5000 0.5000 0.5000 x1

---

Name the least stable of them. run w.

---

Run w
This record from the Alexandria database describes an optimized crystal structure of CrNiC2. The functional is PBE.

Calculated values
Density of states at the Fermi level = 7.30 states/eV/cell

a = 4.3970 Å, b = 4.3970 Å, c = 8.5802 Å
α = 90.00°, β = 90.00°, γ = 90.00°
Space group I-42d (No. 122)
One atom of each set of equivalent atoms:
1 Cr 0.0000 0.0000 0.0000 x4
2 Ni 0.0000 0.0000 0.5000 x4
3 C 0.2421 0.2500 0.1250 x8

---

Run x
This record from the Alexandria database describes an optimized crystal structure of CrNiC2. The functional is PBE.

Calculated values
Density of states at the Fermi level = 6.14 states/eV/cell

a = 5.0388 Å, b = 5.0388 Å, c = 5.0388 Å
α = 90.00°, β = 90.00°, γ = 90.00°
Space group Fm-3m (No. 225)
One atom of each set of equivalent atoms:
1 Cr 0.0000 0.0000 0.0000 x4
2 Ni 0.0000 0.0000 0.5000 x4
3 C 0.2500 0.2500 0.2500 x8

---

Name the least stable of them. run x.

---

Run w
This record from the Alexandria database describes an optimized crystal structure of CrNiSbC. The functional is PBE.

Calculated values
Density of states at the Fermi level = 5.49 states/eV/cell

a = 8.5109 Å, b = 2.9169 Å, c = 5.2177 Å
α = 90.00°, β = 123.85°, γ = 90.00°
Space group Cm (No. 8)
One atom of each set of equivalent atoms:
1 Cr 0.0000 0.0000 0.0000 x2
2 Ni 0.1514 0.5000 0.7176 x2
3 Sb 0.3345 0.5000 0.3615 x2
4 C 0.3345 0.0000 0.8628 x2

---

Run x
This record from the Alexandria database describes an optimized crystal structure of CrNiSbC. The functional is PBE.

Calculated values
Density of states at the Fermi level = 2.29 states/eV/cell

a = 3.1644 Å, b = 3.1764 Å, c = 6.6588 Å
α = 76.43°, β = 76.29°, γ = 60.26°
Space group P1 (No. 1)
One atom of each set of equivalent atoms:
1 Cr 0.0000 0.0000 0.0000 x1
2 Ni 0.5693 0.5696 0.2907 x1
3 Sb 0.1374 0.1407 0.5822 x1
4 C 0.2969 0.2992 0.1069 x1

---

Run y
This record from the Alexandria database describes an optimized crystal structure of CrNiSbC. The functional is PBE.

Calculated values
Density of states at the Fermi level = 3.27 states/eV/cell

a = 3.1167 Å, b = 3.1167 Å, c = 6.5227 Å
α = 90.00°, β = 90.00°, γ = 120.00°
Space group P3m1 (No. 156)
One atom of each set of equivalent atoms:
1 Cr 0.0000 0.0000 0.0000 x1
2 Ni 0.3333 0.6667 0.7231 x1
3 Sb 0.3333 0.6667 0.3278 x1
4 C 0.6667 0.3333 0.8570 x1

---

Run z
This record from the Alexandria database describes an optimized crystal structure of CrNiSbC. The functional is PBE.

Calculated values
Density of states at the Fermi level = 2.70 states/eV/cell

a = 3.3373 Å, b = 3.3373 Å, c = 6.1297 Å
α = 90.00°, β = 90.00°, γ = 120.00°
Space group P3m1 (No. 156)
One atom of each set of equivalent atoms:
1 Cr 0.0000 0.0000 0.0000 x1
2 Ni 0.3333 0.6667 0.6936 x1
3 Sb 0.0000 0.0000 0.4337 x1
4 C 0.3333 0.6667 0.0064 x1

---

Name the least stable of them. run w.